VASP calculation (PBE with a Hubbard U) on a geometry-optimized BaFeN2F structure.

Lattice parameters (Å, degrees): 3.9006 3.9006 4.6874 90.00 90.00 90.00
Space group P4/mmm (No. 123)
Asymmetric unit:
Ba (0.0000, 0.0000, 0.0000) [1 per cell]
Fe (0.5000, 0.5000, 0.5000) [1 per cell]
N (0.0000, 0.5000, 0.5000) [2 per cell]
F (0.5000, 0.5000, 0.0000) [1 per cell]

Values from the calculation:
Raw total energy (eV/cell): -29.28
M_tot (μB/f.u.): 4.7
Energy relative to the lowest polymorph listed for this composition (kJ/mol of formula units): 0